1.
Material: Tb5Si2Bi2
Method: DFT, PBE
State: optimized geometry

a = 15.4490 Å, b = 7.9596 Å, c = 7.9742 Å
α = 90.00°, β = 90.00°, γ = 90.00°
Space group Cmce (No. 64)
Symmetry-distinct sites (fractional):
Tb  0.0000  0.0000  0.0000 (multiplicity 4)
Tb  0.1225  0.1656  0.3345 (multiplicity 16)
Si  0.0000  0.1338  0.6328 (multiplicity 8)
Bi  0.2075  0.0000  0.0000 (multiplicity 8)

Computed properties:
ρ ... 8.6 g/cm3
Volume ... 981 Å³ per cell
Magnetization ... 0.00 μB per formula unit
Uncorrected formation energy ... -0.80 eV/atom
Crystal system ... orthorhombic

2.
Material: Zr2TeOs
Method: DFT, PBE
State: optimized geometry

a = 3.8349 Å, b = 3.8349 Å, c = 6.1828 Å
α = 90.00°, β = 90.00°, γ = 90.00°
Space group P4mm (No. 99)
Symmetry-distinct sites (fractional):
Zr  0.0000  0.0000  0.0000 (multiplicity 1)
Zr  0.5000  0.5000  0.3348 (multiplicity 1)
Te  0.5000  0.5000  0.8108 (multiplicity 1)
Os  0.0000  0.0000  0.4061 (multiplicity 1)

Computed properties:
ρ ... 9.1 g/cm3
Volume ... 91 Å³ per cell
Magnetization ... 0.00 μB per formula unit
Uncorrected formation energy ... -0.25 eV/atom
Crystal system ... tetragonal

3.
Material: K2In2Cu
Method: DFT, PBE
State: optimized geometry

a = 4.2500 Å, b = 4.2500 Å, c = 20.7746 Å
α = 90.00°, β = 90.00°, γ = 90.00°
Space group I4/mmm (No. 139)
Symmetry-distinct sites (fractional):
K  0.0000  0.0000  0.0929 (multiplicity 4)
In  0.0000  0.5000  0.2500 (multiplicity 4)
Cu  0.0000  0.0000  0.5000 (multiplicity 2)

Computed properties:
ρ ... 3.3 g/cm3
Volume ... 375 Å³ per cell
Energy above the most stable polymorph in this dataset ... 0.104 eV/atom
Magnetization ... 0.00 μB per formula unit
Crystal system ... tetragonal

4.
Material: Cr2SiAg2
Method: DFT, PBE
State: optimized geometry

a = 7.6547 Å, b = 7.6547 Å, c = 2.8247 Å
α = 90.00°, β = 90.00°, γ = 90.00°
Space group P4/mbm (No. 127)
Symmetry-distinct sites (fractional):
Cr  0.0859  0.4141  0.0000 (multiplicity 4)
Si  0.0000  0.0000  0.5000 (multiplicity 2)
Ag  0.2021  0.7021  0.5000 (multiplicity 4)

Computed properties:
ρ ... 7.0 g/cm3
Volume ... 166 Å³ per cell
Energy above the most stable polymorph in this dataset ... 0.067 eV/atom
Magnetization ... 0.00 μB per formula unit
Uncorrected formation energy ... 0.78 eV/atom
Crystal system ... tetragonal

5.
Material: TlSi2Pb2
Method: DFT, PBE
State: optimized geometry

a = 5.2475 Å, b = 5.2475 Å, c = 9.8941 Å
α = 90.00°, β = 90.00°, γ = 90.00°
Space group I4/mmm (No. 139)
Symmetry-distinct sites (fractional):
Tl  0.0000  0.0000  0.0000 (multiplicity 2)
Si  0.0000  0.0000  0.3813 (multiplicity 4)
Pb  0.0000  0.5000  0.2500 (multiplicity 4)

Computed properties:
ρ ... 8.2 g/cm3
Volume ... 272 Å³ per cell
Energy above the most stable polymorph in this dataset ... 0.085 eV/atom
Magnetization ... 0.00 μB per formula unit
Uncorrected formation energy ... 0.31 eV/atom
Crystal system ... tetragonal

6.
Material: KY2Pb
Method: DFT, PBE
State: optimized geometry

a = 3.7016 Å, b = 3.7016 Å, c = 36.6921 Å
α = 90.00°, β = 90.00°, γ = 120.00°
Space group R-3m (No. 166, hexagonal axes)
Symmetry-distinct sites (fractional):
K  0.0000  0.0000  0.0000 (multiplicity 3)
Y  0.0000  0.0000  0.2351 (multiplicity 6)
Pb  0.0000  0.0000  0.5000 (multiplicity 3)

Computed properties:
ρ ... 4.9 g/cm3
Volume ... 435 Å³ per cell
Magnetization ... 0.47 μB per formula unit
E ... -17.410 eV/f.u.
Crystal system ... trigonal

7.
Material: Sr2RhSe
Method: DFT, PBE
State: optimized geometry

a = 4.1472 Å, b = 4.1472 Å, c = 23.6856 Å
α = 90.00°, β = 90.00°, γ = 120.00°
Space group R-3m (No. 166, hexagonal axes)
Symmetry-distinct sites (fractional):
Sr  0.0000  0.0000  0.2476 (multiplicity 6)
Rh  0.0000  0.0000  0.0000 (multiplicity 3)
Se  0.0000  0.0000  0.5000 (multiplicity 3)

Computed properties:
ρ ... 5.0 g/cm3
Volume ... 353 Å³ per cell
Magnetization ... 0.13 μB per formula unit
Uncorrected formation energy ... -0.80 eV/atom
Crystal system ... trigonal

8.
Material: Nd6AsRh2Se3
Method: DFT, PBE
State: optimized geometry

a = 18.6849 Å, b = 4.1624 Å, c = 8.6561 Å
α = 90.00°, β = 105.81°, γ = 90.00°
Space group C2/m (No. 12)
Symmetry-distinct sites (fractional):
Nd  0.0081  0.0000  0.2492 (multiplicity 4)
Nd  0.1673  0.5000  0.1056 (multiplicity 4)
Nd  0.1721  0.5000  0.5748 (multiplicity 4)
As  0.0000  0.5000  0.0000 (multiplicity 2)
Rh  0.1692  0.0000  0.3383 (multiplicity 4)
Se  0.0000  0.5000  0.5000 (multiplicity 2)
Se  0.1618  0.0000  0.8390 (multiplicity 4)

Computed properties:
ρ ... 7.1 g/cm3
Volume ... 648 Å³ per cell
Magnetization ... 0.00 μB per formula unit
Uncorrected formation energy ... -1.37 eV/atom
Crystal system ... monoclinic

9.
Material: Tb12Pr6Sc
Method: DFT, PBE
State: optimized geometry

a = 12.4081 Å, b = 12.4081 Å, c = 14.3706 Å
α = 90.00°, β = 90.00°, γ = 120.00°
Space group R-3 (No. 148, hexagonal axes)
Symmetry-distinct sites (fractional):
Tb  0.0542  0.1815  0.3097 (multiplicity 18)
Tb  0.0662  0.8725  0.9032 (multiplicity 18)
Pr  0.0261  0.4398  0.2173 (multiplicity 18)
Sc  0.0000  0.0000  0.5000 (multiplicity 3)

Computed properties:
ρ ... 7.3 g/cm3
Volume ... 1916 Å³ per cell
Magnetization ... 0.00 μB per formula unit
E ... -87.517 eV/f.u.
Crystal system ... trigonal

10.
Material: Ce2InGa4Au3
Method: DFT, PBE
State: optimized geometry

a = 4.3847 Å, b = 4.3847 Å, c = 11.0532 Å
α = 90.00°, β = 90.00°, γ = 90.00°
Space group P-4m2 (No. 115)
Symmetry-distinct sites (fractional):
Ce  0.0000  0.5000  0.2426 (multiplicity 2)
In  0.0000  0.0000  0.5000 (multiplicity 1)
Ga  0.0000  0.0000  0.0000 (multiplicity 1)
Ga  0.0000  0.5000  0.6459 (multiplicity 2)
Ga  0.5000  0.5000  0.0000 (multiplicity 1)
Au  0.0000  0.5000  0.8712 (multiplicity 2)
Au  0.5000  0.5000  0.5000 (multiplicity 1)

Computed properties:
ρ ... 9.9 g/cm3
Volume ... 213 Å³ per cell
Magnetization ... 1.46 μB per formula unit
E ... -42.062 eV/f.u.
Crystal system ... tetragonal

11.
Material: Er3Tm7Cd
Method: DFT, PBE
State: optimized geometry

a = 6.8503 Å, b = 6.8503 Å, c = 8.4135 Å
α = 90.00°, β = 90.00°, γ = 120.00°
Space group P3m1 (No. 156)
Symmetry-distinct sites (fractional):
Er  0.1683  0.3366  0.0000 (multiplicity 3)
Tm  0.0063  0.5032  0.3393 (multiplicity 3)
Tm  0.3319  0.1660  0.6637 (multiplicity 3)
Tm  0.3333  0.6667  0.6711 (multiplicity 1)
Cd  0.0000  0.0000  0.3393 (multiplicity 1)

Computed properties:
ρ ... 8.7 g/cm3
Volume ... 342 Å³ per cell
Magnetization ... 0.00 μB per formula unit
E ... -44.012 eV/f.u.
Crystal system ... trigonal

12.
Material: Ac8Nd6Tm
Method: DFT, PBE
State: optimized geometry

a = 10.1551 Å, b = 10.1551 Å, c = 21.5165 Å
α = 90.00°, β = 90.00°, γ = 120.00°
Space group R-3 (No. 148, hexagonal axes)
Symmetry-distinct sites (fractional):
Ac  0.0000  0.0000  0.2318 (multiplicity 6)
Ac  0.0131  0.7144  0.6238 (multiplicity 18)
Nd  0.0011  0.6908  0.1293 (multiplicity 18)
Tm  0.0000  0.0000  0.5000 (multiplicity 3)

Computed properties:
ρ ... 7.4 g/cm3
Volume ... 1922 Å³ per cell
Magnetization ... 0.00 μB per formula unit
E ... -62.487 eV/f.u.
Crystal system ... trigonal

13.
Material: MnNb2HPb
Method: DFT, PBE
State: optimized geometry

a = 4.9634 Å, b = 4.9634 Å, c = 3.2569 Å
α = 90.00°, β = 90.00°, γ = 90.00°
Space group P4/mmm (No. 123)
Symmetry-distinct sites (fractional):
Mn  0.0000  0.0000  0.0000 (multiplicity 1)
Nb  0.0000  0.5000  0.0000 (multiplicity 2)
H  0.0000  0.0000  0.5000 (multiplicity 1)
Pb  0.5000  0.5000  0.5000 (multiplicity 1)

Computed properties:
ρ ... 9.3 g/cm3
Volume ... 80 Å³ per cell
Magnetization ... 0.27 μB per formula unit
E ... -33.133 eV/f.u.
Crystal system ... tetragonal

14.
Material: AlV2B
Method: DFT, PBE
State: optimized geometry

a = 6.3673 Å, b = 6.3673 Å, c = 4.8892 Å
α = 90.00°, β = 90.00°, γ = 90.00°
Space group I-42d (No. 122)
Symmetry-distinct sites (fractional):
Al  0.0000  0.0000  0.0000 (multiplicity 4)
V  0.2077  0.2500  0.6250 (multiplicity 8)
B  0.0000  0.0000  0.5000 (multiplicity 4)

Computed properties:
ρ ... 4.7 g/cm3
Volume ... 198 Å³ per cell
Energy above the most stable polymorph in this dataset ... 0.560 eV/atom
Magnetization ... 0.00 μB per formula unit
Crystal system ... tetragonal

15.
Material: Nb6Ir10Os
Method: DFT, PBE
State: optimized geometry

a = 7.6348 Å, b = 7.6348 Å, c = 5.4956 Å
α = 90.00°, β = 90.00°, γ = 120.00°
Space group P-31m (No. 162)
Symmetry-distinct sites (fractional):
Nb  0.0000  0.3520  0.2997 (multiplicity 6)
Ir  0.0000  0.2975  0.8194 (multiplicity 6)
Ir  0.3333  0.6667  0.0000 (multiplicity 2)
Ir  0.3333  0.6667  0.5000 (multiplicity 2)
Os  0.0000  0.0000  0.5000 (multiplicity 1)

Computed properties:
ρ ... 16.0 g/cm3
Volume ... 277 Å³ per cell
Magnetization ... 0.00 μB per formula unit
E ... -164.520 eV/f.u.
Crystal system ... trigonal

16.
Material: Tl2P
Method: DFT, PBE
State: optimized geometry

a = 4.7015 Å, b = 4.7015 Å, c = 3.9028 Å
α = 90.00°, β = 90.00°, γ = 90.00°
Space group P4/mmm (No. 123)
Symmetry-distinct sites (fractional):
Tl  0.0000  0.5000  0.0000 (multiplicity 2)
P  0.0000  0.0000  0.5000 (multiplicity 1)

Computed properties:
ρ ... 8.5 g/cm3
Volume ... 86 Å³ per cell
Energy above the most stable polymorph in this dataset ... 0.274 eV/atom
Magnetization ... 0.00 μB per formula unit
Crystal system ... tetragonal

17.
Material: LaHoNiPd
Method: DFT, PBE
State: optimized geometry

a = 7.0748 Å, b = 7.0748 Å, c = 7.0748 Å
α = 90.00°, β = 90.00°, γ = 90.00°
Space group F-43m (No. 216)
Symmetry-distinct sites (fractional):
La  0.0000  0.0000  0.0000 (multiplicity 4)
Ho  0.0000  0.0000  0.5000 (multiplicity 4)
Ni  0.2500  0.2500  0.7500 (multiplicity 4)
Pd  0.2500  0.2500  0.2500 (multiplicity 4)

Computed properties:
ρ ... 8.8 g/cm3
Volume ... 354 Å³ per cell
Energy above the most stable polymorph in this dataset ... 0.078 eV/atom
Magnetization ... 0.00 μB per formula unit
Crystal system ... cubic

18.
Material: Hf11Zn9Co4
Method: DFT, PBE
State: optimized geometry

a = 13.0319 Å, b = 19.5932 Å, c = 3.2245 Å
α = 90.00°, β = 90.00°, γ = 90.00°
Space group Cmmm (No. 65)
Symmetry-distinct sites (fractional):
Hf  0.0000  0.0000  0.0000 (multiplicity 2)
Hf  0.0000  0.1614  0.0000 (multiplicity 4)
Hf  0.0000  0.3684  0.0000 (multiplicity 4)
Hf  0.1955  0.5000  0.0000 (multiplicity 4)
Hf  0.2442  0.1699  0.0000 (multiplicity 8)
Zn  0.0000  0.5000  0.5000 (multiplicity 2)
Zn  0.1039  0.2617  0.5000 (multiplicity 8)
Zn  0.1437  0.0707  0.5000 (multiplicity 8)
Co  0.1516  0.3992  0.5000 (multiplicity 8)

Computed properties:
ρ ... 11.2 g/cm3
Volume ... 823 Å³ per cell
Magnetization ... 0.00 μB per formula unit
E ... -157.021 eV/f.u.
Crystal system ... orthorhombic

19.
Material: V3RhSe
Method: DFT, PBE
State: optimized geometry

a = 4.6592 Å, b = 4.6592 Å, c = 4.6592 Å
α = 90.00°, β = 90.00°, γ = 90.00°
Space group Pm-3m (No. 221)
Symmetry-distinct sites (fractional):
V  0.0000  0.0000  0.5000 (multiplicity 3)
Rh  0.0000  0.0000  0.0000 (multiplicity 1)
Se  0.5000  0.5000  0.5000 (multiplicity 1)

Computed properties:
ρ ... 5.5 g/cm3
Volume ... 101 Å³ per cell
Energy above the most stable polymorph in this dataset ... 0.179 eV/atom
Magnetization ... 5.20 μB per formula unit
Uncorrected formation energy ... 0.88 eV/atom
Crystal system ... cubic

20.
Material: LiCrIr2
Method: DFT, PBE
State: optimized geometry

a = 6.8964 Å, b = 6.8964 Å, c = 5.1436 Å
α = 90.00°, β = 90.00°, γ = 90.00°
Space group I-42d (No. 122)
Symmetry-distinct sites (fractional):
Li  0.0000  0.0000  0.0000 (multiplicity 4)
Cr  0.0000  0.0000  0.5000 (multiplicity 4)
Ir  0.2020  0.2500  0.6250 (multiplicity 8)

Computed properties:
ρ ... 12.0 g/cm3
Volume ... 245 Å³ per cell
Magnetization ... 0.00 μB per formula unit
E ... -27.941 eV/f.u.
Crystal system ... tetragonal